Record 1
A geometry-optimized SiPtO2 structure. Source: Alexandria, functional PBEsol.

## Properties
E_tot ... -7.4517 eV per atom
Crystal system ... trigonal
Formation energy without anion corrections ... -637 kJ/mol of formula units

Lattice parameters (Å, degrees): 9.430 9.430 9.430 16.07 16.07 16.07
Atoms (fractional coordinates):
1 Si 0.000 0.000 0.000
2 Pt 0.500 0.500 0.500
3 O 0.366 0.366 0.366
4 O 0.634 0.634 0.634

---

Record 2
A geometry-optimized Sm2Pt2O7 structure. Source: Alexandria, functional PBEsol.

## Properties
E_tot ... -7.5330 eV per atom
Crystal system ... cubic
Formation energy without anion corrections ... -2123 kJ/mol of formula units

Lattice parameters (Å, degrees): 7.274 7.274 7.274 60.00 60.00 60.00
Atoms (fractional coordinates):
1 Sm 0.000 0.000 0.000
2 Sm 0.000 0.000 0.500
3 Sm 0.000 0.500 0.000
4 Sm 0.500 0.000 0.000
5 Pt 0.000 0.500 0.500
6 Pt 0.500 0.000 0.500
7 Pt 0.500 0.500 0.000
8 Pt 0.500 0.500 0.500
9 O 0.125 0.125 0.125
10 O 0.163 0.163 0.587
11 O 0.163 0.587 0.163
12 O 0.163 0.587 0.587
13 O 0.413 0.413 0.837
14 O 0.413 0.837 0.413
15 O 0.413 0.837 0.837
16 O 0.587 0.163 0.163
17 O 0.587 0.163 0.587
18 O 0.587 0.587 0.163
19 O 0.837 0.413 0.413
20 O 0.837 0.413 0.837
21 O 0.837 0.837 0.413
22 O 0.875 0.875 0.875

---

Record 3
A geometry-optimized Sm2ZnPtO6 structure. Source: Alexandria, functional PBEsol.

## Properties
E_tot ... -7.2672 eV per atom
Crystal system ... monoclinic
Formation energy without anion corrections ... -2166 kJ/mol of formula units

Lattice parameters (Å, degrees): 5.358 5.780 9.339 90.00 124.69 90.00
Atoms (fractional coordinates):
1 Sm 0.227 0.076 0.251
2 Sm 0.227 0.424 0.751
3 Sm 0.773 0.576 0.249
4 Sm 0.773 0.924 0.749
5 Zn 0.500 0.000 0.000
6 Zn 0.500 0.500 0.500
7 Pt 0.000 0.000 0.500
8 Pt 0.000 0.500 0.000
9 O 0.125 0.200 0.943
10 O 0.125 0.300 0.443
11 O 0.254 0.692 0.946
12 O 0.254 0.808 0.446
13 O 0.361 0.038 0.748
14 O 0.361 0.462 0.248
15 O 0.639 0.538 0.752
16 O 0.639 0.962 0.252
17 O 0.746 0.192 0.554
18 O 0.746 0.308 0.054
19 O 0.875 0.700 0.557
20 O 0.875 0.800 0.057

---

Record 4
A geometry-optimized SnPt3O structure. Source: Alexandria, functional PBEsol.

## Properties
E_tot ... -5.7072 eV per atom
Crystal system ... cubic
Formation energy without anion corrections ... 180 kJ/mol of formula units

Lattice parameters (Å, degrees): 4.295 4.295 4.295 90.00 90.00 90.00
Atoms (fractional coordinates):
1 Sn 0.000 0.000 0.000
2 Pt 0.000 0.500 0.500
3 Pt 0.500 0.000 0.500
4 Pt 0.500 0.500 0.000
5 O 0.500 0.500 0.500

---

Record 5
A geometry-optimized SrPt3O4 structure. Source: Alexandria, functional PBEsol.

## Properties
E_tot ... -6.5320 eV per atom
Crystal system ... cubic
Formation energy without anion corrections ... -823 kJ/mol of formula units

Lattice parameters (Å, degrees): 5.843 5.843 5.843 90.00 90.00 90.00
Atoms (fractional coordinates):
1 Sr 0.000 0.000 0.000
2 Sr 0.500 0.500 0.500
3 Pt 0.000 0.250 0.500
4 Pt 0.000 0.750 0.500
5 Pt 0.250 0.500 0.000
6 Pt 0.500 0.000 0.250
7 Pt 0.500 0.000 0.750
8 Pt 0.750 0.500 0.000
9 O 0.250 0.250 0.250
10 O 0.250 0.250 0.750
11 O 0.250 0.750 0.250
12 O 0.250 0.750 0.750
13 O 0.750 0.250 0.250
14 O 0.750 0.250 0.750
15 O 0.750 0.750 0.250
16 O 0.750 0.750 0.750

---

Record 6
A geometry-optimized Sr2PtO structure. Source: Alexandria, functional PBEsol.

## Properties
E_tot ... -5.4121 eV per atom
Crystal system ... tetragonal
Formation energy without anion corrections ... -555 kJ/mol of formula units

Lattice parameters (Å, degrees): 6.333 6.333 6.333 113.60 113.60 101.49
Atoms (fractional coordinates):
1 Sr 0.057 0.625 0.932
2 Sr 0.375 0.307 0.432
3 Sr 0.693 0.125 0.068
4 Sr 0.875 0.943 0.568
5 Pt 0.250 0.750 0.500
6 Pt 0.500 0.500 0.000
7 O 0.000 0.000 0.000
8 O 0.750 0.250 0.500

---

Record 7
A geometry-optimized Te3PtO structure. Source: Alexandria, functional PBEsol.

## Properties
E_tot ... -4.0939 eV per atom
Crystal system ... cubic
Formation energy without anion corrections ... 224 kJ/mol of formula units

Lattice parameters (Å, degrees): 4.691 4.691 4.691 90.00 90.00 90.00
Atoms (fractional coordinates):
1 Te 0.000 0.000 0.500
2 Te 0.000 0.500 0.000
3 Te 0.500 0.000 0.000
4 Pt 0.500 0.500 0.500
5 O 0.000 0.000 0.000

---

Record 8
A geometry-optimized TePtO3 structure. Source: Alexandria, functional PBEsol.

## Properties
E_tot ... -5.2216 eV per atom
Crystal system ... cubic
Formation energy without anion corrections ... 12 kJ/mol of formula units

Lattice parameters (Å, degrees): 3.994 3.994 3.994 90.00 90.00 90.00
Atoms (fractional coordinates):
1 Te 0.000 0.000 0.000
2 Pt 0.500 0.500 0.500
3 O 0.000 0.500 0.500
4 O 0.500 0.000 0.500
5 O 0.500 0.500 0.000

---

Record 9
A geometry-optimized TiPtO3 structure. Source: Alexandria, functional PBEsol.

## Properties
E_tot ... -7.3218 eV per atom
Crystal system ... cubic
Formation energy without anion corrections ... -538 kJ/mol of formula units

Lattice parameters (Å, degrees): 3.830 3.830 3.830 90.00 90.00 90.00
Atoms (fractional coordinates):
1 Ti 0.000 0.000 0.000
2 Pt 0.500 0.500 0.500
3 O 0.000 0.000 0.500
4 O 0.000 0.500 0.000
5 O 0.500 0.000 0.000

---

Record 10
A geometry-optimized Ti2PtO structure. Source: Alexandria, functional PBEsol.

## Properties
E_tot ... -8.7035 eV per atom
Crystal system ... tetragonal
Formation energy without anion corrections ... -575 kJ/mol of formula units

Lattice parameters (Å, degrees): 5.299 5.299 5.299 113.10 113.10 102.43
Atoms (fractional coordinates):
1 Ti 0.044 0.125 0.419
2 Ti 0.375 0.956 0.081
3 Ti 0.706 0.625 0.581
4 Ti 0.875 0.294 0.919
5 Pt 0.250 0.750 0.500
6 Pt 0.500 0.500 0.000
7 O 0.000 0.000 0.000
8 O 0.750 0.250 0.500

---

Record 11
A geometry-optimized TlPt3O structure. Source: Alexandria, functional PBEsol.

## Properties
E_tot ... -3.5454 eV per atom
Crystal system ... cubic
Formation energy without anion corrections ... 1065 kJ/mol of formula units
ΔE to the lowest computed polymorph ... 1687 meV per atom

Lattice parameters (Å, degrees): 5.009 5.009 5.009 90.00 90.00 90.00
Atoms (fractional coordinates):
1 Tl 0.000 0.000 0.000
2 Pt 0.000 0.000 0.500
3 Pt 0.000 0.500 0.000
4 Pt 0.500 0.000 0.000
5 O 0.500 0.500 0.500

---

Record 12
A geometry-optimized Tl2Pt2O7 structure. Source: Alexandria, functional PBEsol.

## Properties
E_tot ... -5.8521 eV per atom
Crystal system ... cubic
Formation energy without anion corrections ... -814 kJ/mol of formula units

Lattice parameters (Å, degrees): 7.197 7.197 7.197 60.00 60.00 60.00
Atoms (fractional coordinates):
1 Tl 0.000 0.000 0.000
2 Tl 0.000 0.000 0.500
3 Tl 0.000 0.500 0.000
4 Tl 0.500 0.000 0.000
5 Pt 0.000 0.500 0.500
6 Pt 0.500 0.000 0.500
7 Pt 0.500 0.500 0.000
8 Pt 0.500 0.500 0.500
9 O 0.125 0.125 0.125
10 O 0.165 0.165 0.585
11 O 0.165 0.585 0.165
12 O 0.165 0.585 0.585
13 O 0.415 0.415 0.835
14 O 0.415 0.835 0.415
15 O 0.415 0.835 0.835
16 O 0.585 0.165 0.165
17 O 0.585 0.165 0.585
18 O 0.585 0.585 0.165
19 O 0.835 0.415 0.415
20 O 0.835 0.415 0.835
21 O 0.835 0.835 0.415
22 O 0.875 0.875 0.875

---

Record 13
A geometry-optimized TlPt3O structure. Source: Alexandria, functional PBEsol.

## Properties
E_tot ... -5.2328 eV per atom
Crystal system ... cubic
Formation energy without anion corrections ... 251 kJ/mol of formula units
ΔE to the lowest computed polymorph ... 0 meV per atom

Lattice parameters (Å, degrees): 4.298 4.298 4.298 90.00 90.00 90.00
Atoms (fractional coordinates):
1 Tl 0.000 0.000 0.000
2 Pt 0.000 0.500 0.500
3 Pt 0.500 0.000 0.500
4 Pt 0.500 0.500 0.000
5 O 0.500 0.500 0.500

---

Record 14
A geometry-optimized TlPt3O4 structure. Source: Alexandria, functional PBEsol.

## Properties
E_tot ... -6.1078 eV per atom
Crystal system ... cubic
Formation energy without anion corrections ... -419 kJ/mol of formula units

Lattice parameters (Å, degrees): 6.821 6.821 6.821 60.00 60.00 60.00
Atoms (fractional coordinates):
1 Tl 0.000 0.000 0.000
2 Tl 0.500 0.500 0.500
3 Pt 0.000 0.000 0.500
4 Pt 0.000 0.500 0.000
5 Pt 0.000 0.500 0.500
6 Pt 0.500 0.000 0.000
7 Pt 0.500 0.000 0.500
8 Pt 0.500 0.500 0.000
9 O 0.143 0.143 0.143
10 O 0.143 0.143 0.571
11 O 0.143 0.571 0.143
12 O 0.429 0.857 0.857
13 O 0.571 0.143 0.143
14 O 0.857 0.429 0.857
15 O 0.857 0.857 0.429
16 O 0.857 0.857 0.857

---

Record 15
A geometry-optimized Tm2Pt2O7 structure. Source: Alexandria, functional PBEsol.

## Properties
E_tot ... -7.6108 eV per atom
Crystal system ... cubic
Formation energy without anion corrections ... -2243 kJ/mol of formula units

Lattice parameters (Å, degrees): 7.110 7.110 7.110 60.00 60.00 60.00
Atoms (fractional coordinates):
1 Tm 0.000 0.000 0.000
2 Tm 0.000 0.000 0.500
3 Tm 0.000 0.500 0.000
4 Tm 0.500 0.000 0.000
5 Pt 0.000 0.500 0.500
6 Pt 0.500 0.000 0.500
7 Pt 0.500 0.500 0.000
8 Pt 0.500 0.500 0.500
9 O 0.125 0.125 0.125
10 O 0.157 0.157 0.593
11 O 0.157 0.593 0.157
12 O 0.157 0.593 0.593
13 O 0.407 0.407 0.843
14 O 0.407 0.843 0.407
15 O 0.407 0.843 0.843
16 O 0.593 0.157 0.157
17 O 0.593 0.157 0.593
18 O 0.593 0.593 0.157
19 O 0.843 0.407 0.407
20 O 0.843 0.407 0.843
21 O 0.843 0.843 0.407
22 O 0.875 0.875 0.875

---

Record 16
A geometry-optimized PtWO2 structure. Source: Alexandria, functional PBEsol.

## Properties
E_tot ... -7.9024 eV per atom
Crystal system ... trigonal
Formation energy without anion corrections ... -33 kJ/mol of formula units
ΔE to the lowest computed polymorph ... 0 meV per atom

Lattice parameters (Å, degrees): 7.369 7.369 7.369 22.28 22.28 22.28
Atoms (fractional coordinates):
1 Pt 0.000 0.000 0.000
2 W 0.500 0.500 0.500
3 O 0.415 0.415 0.415
4 O 0.585 0.585 0.585

---

Record 17
A geometry-optimized PtWO2 structure. Source: Alexandria, functional PBEsol.

## Properties
E_tot ... -7.5466 eV per atom
Crystal system ... cubic
Formation energy without anion corrections ... 105 kJ/mol of formula units
ΔE to the lowest computed polymorph ... 356 meV per atom

Lattice parameters (Å, degrees): 3.936 3.936 3.936 60.00 60.00 60.00
Atoms (fractional coordinates):
1 Pt 0.000 0.000 0.000
2 W 0.500 0.500 0.500
3 O 0.250 0.250 0.250
4 O 0.750 0.750 0.750

---

Record 18
A geometry-optimized Y3PtO structure. Source: Alexandria, functional PBEsol.

## Properties
E_tot ... -6.6545 eV per atom
Crystal system ... cubic
Formation energy without anion corrections ... -57 kJ/mol of formula units

Lattice parameters (Å, degrees): 5.312 5.312 5.312 90.00 90.00 90.00
Atoms (fractional coordinates):
1 Y 0.000 0.000 0.500
2 Y 0.000 0.500 0.000
3 Y 0.500 0.000 0.000
4 Pt 0.000 0.000 0.000
5 O 0.500 0.500 0.500

---

Record 19
A geometry-optimized Zn2PtO4 structure. Source: Alexandria, functional PBEsol.

## Properties
E_tot ... -5.4984 eV per atom
Crystal system ... orthorhombic
Formation energy without anion corrections ... -711 kJ/mol of formula units

Lattice parameters (Å, degrees): 6.074 6.074 6.074 122.27 119.30 88.66
Atoms (fractional coordinates):
1 Zn 0.000 0.000 0.500
2 Zn 0.000 0.500 0.000
3 Zn 0.400 0.150 0.250
4 Zn 0.600 0.850 0.750
5 Pt 0.000 0.500 0.500
6 Pt 0.500 0.500 0.000
7 O 0.214 0.732 0.482
8 O 0.250 0.268 0.982
9 O 0.251 0.274 0.523
10 O 0.251 0.728 0.977
11 O 0.749 0.272 0.023
12 O 0.749 0.726 0.477
13 O 0.750 0.732 0.018
14 O 0.786 0.268 0.518

---

Record 20
A geometry-optimized Zr2PtO structure. Source: Alexandria, functional PBEsol.

## Properties
E_tot ... -9.0876 eV per atom
Crystal system ... tetragonal
Formation energy without anion corrections ... -575 kJ/mol of formula units

Lattice parameters (Å, degrees): 6.447 6.447 6.447 129.99 129.99 73.43
Atoms (fractional coordinates):
1 Zr 0.050 0.625 0.925
2 Zr 0.375 0.300 0.425
3 Zr 0.700 0.125 0.075
4 Zr 0.875 0.950 0.575
5 Pt 0.250 0.750 0.500
6 Pt 0.500 0.500 0.000
7 O 0.000 0.000 0.000
8 O 0.750 0.250 0.500